Below is a relaxed structure of ScAs, with properties calculated at the GGA-PBE level.

Its calculated volume is 34.755 A^3/atom. The total energy is -75.887 eV per cell.

The space group is Pm-3n (No. 223) and the conventional cell measures 7.471, 7.471 and 7.471 Å, with angles of 90.00, 90.00 and 90.00 degrees. The asymmetric unit holds Sc at (0.000, 0.250, 0.500) and As at (0.000, 0.500, 0.250).

Below is a relaxed structure of NdCuNiSn, with properties calculated at the GGA-PBE level.

Its calculated volume is 18.764 A^3/atom. The total energy is -80.508 eV per cell.

The space group is F-43m (No. 216) and the conventional cell measures 6.696, 6.696 and 6.696 Å, with angles of 90.00, 90.00 and 90.00 degrees. The asymmetric unit holds Nd at (0.000, 0.000, 0.000), Cu at (0.250, 0.250, 0.750), Ni at (0.250, 0.250, 0.250) and Sn at (0.000, 0.000, 0.500).

Below is a relaxed structure of InCu2Te, with properties calculated at the GGA-PBE level.

Its offset from the most stable computed form is 4.9 meV/atom. The energy relative to the elements, uncorrected is 59 meV/atom. Its calculated volume is 21.770 A^3/atom. The total energy is -41.506 eV per cell.

The space group is R3m (No. 160, hexagonal axes) and the conventional cell measures 4.0705, 4.0705 and 18.2059 Å, with angles of 90.00, 90.00 and 120.00 degrees. The asymmetric unit holds In at (0.0000, 0.0000, 0.0000), Cu at (0.0000, 0.0000, 0.2533), Cu at (0.0000, 0.0000, 0.5437) and Te at (0.0000, 0.0000, 0.8130).